Entry 1:
This record from the Alexandria database describes Ac2TeSe5 after structural relaxation. The functional is PBE.

Lattice parameters (Å, degrees): 7.427 7.427 7.227 127.46 126.42 80.24
Sites, in units of the cell vectors:
Se  0.633  0.243  0.876
Ac  0.256  0.783  0.521
Se  0.743  0.778  0.012
Ac  0.738  0.265  0.521
Se  0.235  0.269  0.012
Se  0.815  0.597  0.412
Se  0.346  0.814  0.160
Te  0.011  0.029  0.040

E_tot in eV/atom: -4.7588
Magnetic moment in μB/atom: 0.0000
DOS at the Fermi energy in states/eV/cell: 0.3
E_form (uncorrected) in eV/atom: -1.16

Entry 2:
This record from the Alexandria database describes CePaTc after structural relaxation. The functional is PBE.

Lattice parameters (Å, degrees): 3.395 4.670 4.670 120.00 90.00 90.00
Sites, in units of the cell vectors:
Tc  0.016  0.000  0.000
Ce  0.657  0.333  0.667
Pa  0.326  0.667  0.333

E_form in meV/atom: -103
Offset from the most stable computed form in eV per atom: 0.058
E_tot in eV/atom: -8.7014
Magnetic moment in μB/atom: 0.0000
DOS at the Fermi energy in states/eV/cell: 3.7

Entry 3:
This record from the Alexandria database describes TbSm3Sc6 after structural relaxation. The functional is PBE.

Lattice parameters (Å, degrees): 9.339 9.339 6.570 44.70 44.70 60.00
Sites, in units of the cell vectors:
Sc  0.271  0.928  0.200
Sc  0.429  0.772  0.701
Sc  0.928  0.602  0.200
Sc  0.772  0.098  0.701
Sm  0.600  0.600  0.200
Sc  0.098  0.429  0.701
Sm  0.350  0.350  0.950
Sc  0.602  0.271  0.200
Tb  0.850  0.850  0.450
Sm  0.100  0.100  0.700

E_form in meV/atom: 409
Offset from the most stable computed form in eV per atom: 0.226
E_tot in eV/atom: -5.2690
Magnetic moment in μB/atom: 0.0000
DOS at the Fermi energy in states/eV/cell: 21.2

Entry 4:
This record from the Alexandria database describes La2Pm3TmTe6 after structural relaxation. The functional is PBE.

Lattice parameters (Å, degrees): 4.453 9.014 9.997 102.54 102.87 90.00
Sites, in units of the cell vectors:
Te  0.004  0.762  0.008
Pm  0.827  0.165  0.654
La  0.832  0.665  0.665
Tm  0.500  0.000  0.000
Te  0.336  0.412  0.672
Pm  0.173  0.835  0.346
Pm  0.500  0.500  0.000
Te  0.340  0.925  0.680
La  0.168  0.335  0.335
Te  0.660  0.075  0.320
Te  0.996  0.238  0.992
Te  0.664  0.588  0.328

E_tot in eV/atom: -5.3822
Magnetic moment in μB/atom: 0.0004
DOS at the Fermi energy in states/eV/cell: 7.2
E_form (uncorrected) in eV/atom: -1.43

Entry 5:
This record from the Alexandria database describes CsRbCdAg after structural relaxation. The functional is PBE.

Lattice parameters (Å, degrees): 5.032 5.032 9.837 90.15 104.68 119.98
Sites, in units of the cell vectors:
Cs  0.353  0.042  0.395
Rb  0.001  0.864  0.864
Ag  0.503  0.616  0.119
Cd  0.836  0.283  0.119

E_form in meV/atom: -34
Offset from the most stable computed form in eV per atom: 0.000
E_tot in eV/atom: -1.4308
Magnetic moment in μB/atom: 0.0000
DOS at the Fermi energy in states/eV/cell: 2.3

Entry 6:
This record from the Alexandria database describes NaSr2NbCu after structural relaxation. The functional is PBE.

Lattice parameters (Å, degrees): 6.094 4.657 6.094 90.00 90.00 90.00
Sites, in units of the cell vectors:
Nb  0.500  0.500  0.500
Sr  0.500  0.000  0.000
Sr  0.000  0.000  0.500
Na  0.000  0.000  0.000
Cu  0.000  0.500  0.000

E_form in meV/atom: 1163
E_tot in eV/atom: -2.6068
Magnetic moment in μB/atom: 0.8782
DOS at the Fermi energy in states/eV/cell: 3.8

Entry 7:
This record from the Alexandria database describes Li2PaSi after structural relaxation. The functional is PBE.

Lattice parameters (Å, degrees): 2.933 2.933 10.770 82.18 82.18 60.00
Sites, in units of the cell vectors:
Si  0.500  0.500  0.500
Li  0.901  0.901  0.298
Li  0.099  0.099  0.702
Pa  0.000  0.000  0.000

E_tot in eV/atom: -4.4474
Magnetic moment in μB/atom: 0.0000
DOS at the Fermi energy in states/eV/cell: 3.8
E_form (uncorrected) in eV/atom: 0.24

Entry 8:
This record from the Alexandria database describes Nd8Sm2Cd after structural relaxation. The functional is PBE.

Lattice parameters (Å, degrees): 5.152 6.309 12.831 77.09 90.00 114.10
Sites, in units of the cell vectors:
Nd  0.411  0.821  0.640
Nd  0.860  0.720  0.452
Nd  0.964  0.927  0.824
Sm  0.685  0.370  0.739
Nd  0.140  0.280  0.548
Nd  0.246  0.492  0.913
Cd  0.500  0.000  0.000
Nd  0.036  0.073  0.176
Nd  0.589  0.179  0.360
Nd  0.754  0.508  0.087
Sm  0.315  0.630  0.261

E_form in meV/atom: -20
E_tot in eV/atom: -4.4287
Magnetic moment in μB/atom: 0.0000
DOS at the Fermi energy in states/eV/cell: 15.2

Entry 9:
This record from the Alexandria database describes InSb2Au after structural relaxation. The functional is PBE.

Lattice parameters (Å, degrees): 3.881 5.437 4.744 90.00 90.00 90.00
Sites, in units of the cell vectors:
In  0.000  0.500  0.500
Sb  0.500  0.500  0.000
Au  0.500  0.000  0.500
Sb  0.000  0.000  0.000

E_tot in eV/atom: -3.4340
Magnetic moment in μB/atom: 0.0000
DOS at the Fermi energy in states/eV/cell: 2.3
E_form (uncorrected) in eV/atom: 0.13

Entry 10:
This record from the Alexandria database describes Ce6Sm after structural relaxation. The functional is PBE.

Lattice parameters (Å, degrees): 6.599 6.599 6.599 109.47 109.47 109.47
Sites, in units of the cell vectors:
Ce  0.500  0.750  0.250
Sm  0.000  0.000  0.000
Ce  0.250  0.750  0.500
Ce  0.750  0.500  0.250
Ce  0.750  0.250  0.500
Ce  0.250  0.500  0.750
Ce  0.500  0.250  0.750

E_form in meV/atom: 630
E_tot in eV/atom: -5.1306
Magnetic moment in μB/atom: 0.3616
DOS at the Fermi energy in states/eV/cell: 27.2

Entry 11:
This record from the Alexandria database describes SrBeIr2 after structural relaxation. The functional is PBE.

Lattice parameters (Å, degrees): 4.947 4.947 4.947 130.47 130.47 72.66
Sites, in units of the cell vectors:
Sr  0.250  0.750  0.500
Ir  0.500  0.500  0.000
Ir  0.000  0.000  0.000
Be  0.750  0.250  0.500

E_form in meV/atom: 530
E_tot in eV/atom: -5.2530
Magnetic moment in μB/atom: 0.0000
DOS at the Fermi energy in states/eV/cell: 2.2

Entry 12:
This record from the Alexandria database describes PrNdHgAu after structural relaxation. The functional is PBE.

Lattice parameters (Å, degrees): 3.792 3.792 7.578 90.00 90.00 90.00
Sites, in units of the cell vectors:
Nd  0.000  0.000  0.369
Pr  0.000  0.000  0.846
Hg  0.500  0.500  0.111
Au  0.500  0.500  0.602

E_form in meV/atom: -611
Offset from the most stable computed form in eV per atom: 0.000
E_tot in eV/atom: -3.8925
Magnetic moment in μB/atom: 0.0007
DOS at the Fermi energy in states/eV/cell: 3.7